(1)
A relaxed Er8Zn2Rh crystal, computed with GGA-PBE.

magnetization: 0.00 μB per formula unit
ΔE_f: -0.279 eV per atom
offset from the most stable computed form: 0 meV/atom
D(E_F): 8.65 states/eV/cell

a = 8.990 Å, b = 8.990 Å, c = 6.703 Å
α = 106.42°, β = 106.42°, γ = 32.94°
Positions (direct):
Er  0.027  0.027  0.284
Er  0.200  0.200  0.811
Er  0.341  0.341  0.535
Er  0.410  0.410  0.063
Er  0.590  0.590  0.937
Er  0.659  0.659  0.465
Er  0.800  0.800  0.189
Er  0.973  0.973  0.716
Zn  0.186  0.186  0.220
Zn  0.814  0.814  0.780
Rh  0.500  0.500  0.500

(2)
A relaxed Tb2CdCo crystal, computed with GGA-PBE.

magnetization: 0.53 μB per formula unit
ΔE_f: -0.131 eV per atom
offset from the most stable computed form: 109 meV/atom
D(E_F): 2.86 states/eV/cell

a = 5.055 Å, b = 5.055 Å, c = 5.055 Å
α = 60.00°, β = 60.00°, γ = 60.00°
Positions (direct):
Tb  0.250  0.250  0.250
Tb  0.750  0.750  0.750
Cd  0.000  0.000  0.000
Co  0.500  0.500  0.500

(3)
A relaxed Hf3ZrH4 crystal, computed with GGA-PBE.

magnetization: 0.00 μB per formula unit
D(E_F): 10.30 states/eV/cell
DFT total energy: -6.79 eV per atom

a = 7.103 Å, b = 5.282 Å, c = 5.286 Å
α = 90.00°, β = 90.00°, γ = 90.00°
Positions (direct):
Hf  0.000  0.242  0.000
Hf  0.247  0.258  0.505
Hf  0.253  0.742  0.005
Hf  0.500  0.758  0.500
Hf  0.747  0.742  0.005
Hf  0.753  0.258  0.505
Zr  0.000  0.758  0.510
Zr  0.500  0.242  0.010
H  0.000  0.121  0.362
H  0.000  0.876  0.883
H  0.248  0.380  0.870
H  0.252  0.620  0.370
H  0.500  0.124  0.383
H  0.500  0.879  0.862
H  0.748  0.620  0.370
H  0.752  0.380  0.870

(4)
A relaxed TbY2HoTm2 crystal, computed with GGA-PBE.

magnetization: 0.01 μB per formula unit
ΔE_f: 0.159 eV per atom
D(E_F): 19.29 states/eV/cell

a = 6.912 Å, b = 16.001 Å, c = 3.494 Å
α = 90.00°, β = 90.00°, γ = 90.00°
Positions (direct):
Tb  0.000  0.000  0.000
Tb  0.500  0.500  0.500
Y  0.250  0.164  0.500
Y  0.250  0.664  0.000
Y  0.750  0.336  0.000
Y  0.750  0.836  0.500
Ho  0.000  0.500  0.500
Ho  0.500  0.000  0.000
Tm  0.250  0.351  0.000
Tm  0.250  0.851  0.500
Tm  0.750  0.149  0.500
Tm  0.750  0.649  0.000